Entry 1:
Computed, not measured: crystalline TeMoSe2 at its relaxed geometry at the GGA-PBE level of DFT.

## Properties
E_tot	-18.4	eV per formula unit
volume	83.2	Å³/f.u.

extended XYZ file:
```
4
Lattice="3.357 0.000 0.000 0.000 5.372 0.000 0.000 0.000 4.616" Properties=species:S:1:pos:R:3 pbc="T T T"
Mo 0.000 2.686 2.308
Se 0.000 0.000 0.000
Se 1.679 2.686 0.000
Te 1.679 0.000 2.308
```


Entry 2:
Computed, not measured: crystalline Te2MoSe at its relaxed geometry at the GGA-PBE level of DFT.

## Properties
E_tot	-19.9	eV per formula unit
volume	98.3	Å³/f.u.

extended XYZ file:
```
4
Lattice="-5.414 3.849 2.929 -7.080 0.804 -1.391 5.949 -3.880 1.506" Properties=species:S:1:pos:R:3 pbc="T T T"
Mo -3.689 -0.375 0.442
Se -2.856 1.148 2.602
Te -1.016 0.378 0.125
Te -5.231 1.948 0.644
```


Entry 3:
Computed, not measured: crystalline TeMoSe3 at its relaxed geometry at the GGA-PBE level of DFT.

## Properties
distance to the lowest polymorph of the same formula	0.0	meV per atom
volume	120.8	Å³/f.u.

extended XYZ file:
```
5
Lattice="4.944 0.000 0.000 0.000 4.944 0.000 0.000 0.000 4.944" Properties=species:S:1:pos:R:3 pbc="T T T"
Mo 0.000 0.000 0.000
Te 2.472 2.472 2.472
Se 0.000 2.472 0.000
Se 0.000 0.000 2.472
Se 2.472 0.000 0.000
```


Entry 4:
Computed, not measured: crystalline TeMoSe2 at its relaxed geometry at the GGA-PBE level of DFT.

## Properties
E_tot	-20.3	eV per formula unit
volume	87.8	Å³/f.u.

extended XYZ file:
```
4
Lattice="-2.429 2.331 -0.632 -1.718 -1.037 2.777 3.710 4.995 4.160" Properties=species:S:1:pos:R:3 pbc="T T T"
Mo 0.895 4.644 4.401
Se 3.608 4.856 4.045
Se -1.482 1.444 1.736
Te 2.107 2.837 2.363
```


Copy entry 2 word for word.
Computed, not measured: crystalline Te2MoSe at its relaxed geometry at the GGA-PBE level of DFT.

## Properties
E_tot	-19.9	eV per formula unit
volume	98.3	Å³/f.u.

extended XYZ file:
```
4
Lattice="-5.414 3.849 2.929 -7.080 0.804 -1.391 5.949 -3.880 1.506" Properties=species:S:1:pos:R:3 pbc="T T T"
Mo -3.689 -0.375 0.442
Se -2.856 1.148 2.602
Te -1.016 0.378 0.125
Te -5.231 1.948 0.644
```


Please write out number 2 again, unchanged.
Computed, not measured: crystalline Te2MoSe at its relaxed geometry at the GGA-PBE level of DFT.

## Properties
E_tot	-19.9	eV per formula unit
volume	98.3	Å³/f.u.

extended XYZ file:
```
4
Lattice="-5.414 3.849 2.929 -7.080 0.804 -1.391 5.949 -3.880 1.506" Properties=species:S:1:pos:R:3 pbc="T T T"
Mo -3.689 -0.375 0.442
Se -2.856 1.148 2.602
Te -1.016 0.378 0.125
Te -5.231 1.948 0.644
```


Which of these has the highest volume?
TeMoSe3


Look up the volume of the third one.
120.8 Å³/f.u.